# Ac2InNi3Ge4, optimized geometry, DFT PBE
data_Ac2InNi3Ge4
_symmetry_space_group_name_H-M 'P 1'
_symmetry_Int_Tables_number 1
_cell_length_a 4.3357
_cell_length_b 4.3357
_cell_length_c 10.5440
_cell_angle_alpha 90.00
_cell_angle_beta 90.00
_cell_angle_gamma 90.00
loop_
_symmetry_equiv_pos_as_xyz
'x,y,z'
loop_
_atom_site_label
_atom_site_type_symbol
_atom_site_fract_x
_atom_site_fract_y
_atom_site_fract_z
Ac1 Ac 0.5000 0.0000 0.2345
In1 In 0.5000 0.5000 0.5000
Ge1 Ge 0.0000 0.0000 0.0000
Ge2 Ge 0.5000 0.5000 0.0000
Ni1 Ni 0.5000 0.0000 0.8862
Ac2 Ac 0.0000 0.5000 0.7655
Ni2 Ni 0.0000 0.5000 0.1138
Ge3 Ge 0.5000 0.0000 0.6539
Ni3 Ni 0.0000 0.0000 0.5000
Ge4 Ge 0.0000 0.5000 0.3461
# Volume ... 198 Å³/cell
# Density ... 8.67 g/cm3
# Calculated formation energy ... -0.558 eV per atom
# Symmetry ... P-4m2